1.
Computed, not measured: an optimized crystal structure of CaTc2Ag2 at the GGA-PBE level of DFT.

Properties
DOS at the Fermi energy	0.855	states/eV per atom
energy relative to the elements	2.57	eV per formula unit

Geometry as CIF:
```
data_CaTc2Ag2
_chemical_formula_sum 'Ca2 Tc4 Ag4'
_cell_length_a 8.310
_cell_length_b 8.310
_cell_length_c 2.784
_cell_angle_alpha 90.00
_cell_angle_beta 90.00
_cell_angle_gamma 90.00
_space_group_name_H-M_alt 'P 4/m b m'
_space_group_IT_number 127
_space_group_name_Hall '-P 4 2ab'
loop_
_atom_site_label
_atom_site_fract_x
_atom_site_fract_y
_atom_site_fract_z
_atom_site_occupancy
Ca1 0.000 0.000 0.000 1
Tc1 0.097 0.403 0.500 1
Ag1 0.192 0.692 0.000 1
```

=====

2.
Computed, not measured: an optimized crystal structure of CaTcAg at the GGA-PBE level of DFT.

Properties
DOS at the Fermi energy	0.989	states/eV per atom
energy relative to the elements	1.76	eV per formula unit

Geometry as CIF:
```
data_CaTcAg
_chemical_formula_sum 'Ca2 Tc2 Ag2'
_cell_length_a 2.801
_cell_length_b 4.368
_cell_length_c 9.851
_cell_angle_alpha 90.00
_cell_angle_beta 90.00
_cell_angle_gamma 90.00
_space_group_name_H-M_alt 'I m m 2'
_space_group_IT_number 44
loop_
_space_group_symop_operation_xyz
'x,y,z'
'-x,-y,z'
'-x,y,z'
'x,-y,z'
'x+1/2,y+1/2,z+1/2'
'-x+1/2,-y+1/2,z+1/2'
'-x+1/2,y+1/2,z+1/2'
'x+1/2,-y+1/2,z+1/2'
loop_
_atom_site_label
_atom_site_fract_x
_atom_site_fract_y
_atom_site_fract_z
_atom_site_occupancy
Ca1 0.000 0.000 0.000 1
Tc1 0.000 0.000 0.689 1
Ag1 0.000 0.000 0.311 1
```

=====

3.
Computed, not measured: an optimized crystal structure of CaTcAg2 at the GGA-PBE level of DFT.

Properties
DOS at the Fermi energy	0.885	states/eV per atom
energy relative to the elements	1.72	eV per formula unit

Geometry as CIF:
```
data_CaTcAg2
_chemical_formula_sum 'Ca4 Tc4 Ag8'
_cell_length_a 6.870
_cell_length_b 6.870
_cell_length_c 6.870
_cell_angle_alpha 90.00
_cell_angle_beta 90.00
_cell_angle_gamma 90.00
_space_group_name_H-M_alt 'F m -3 m'
_space_group_IT_number 225
_space_group_name_Hall '-F 4 2 3'
loop_
_atom_site_label
_atom_site_fract_x
_atom_site_fract_y
_atom_site_fract_z
_atom_site_occupancy
Ca1 0.000 0.000 0.000 1
Tc1 0.000 0.000 0.500 1
Ag1 0.250 0.250 0.250 1
```

=====

> DOS at the Fermi energy of number 2 (CaTcAg)?

0.989 states/eV per atom

=====

Repeat the third record exactly.
Computed, not measured: an optimized crystal structure of CaTcAg2 at the GGA-PBE level of DFT.

Properties
DOS at the Fermi energy	0.885	states/eV per atom
energy relative to the elements	1.72	eV per formula unit

Geometry as CIF:
```
data_CaTcAg2
_chemical_formula_sum 'Ca4 Tc4 Ag8'
_cell_length_a 6.870
_cell_length_b 6.870
_cell_length_c 6.870
_cell_angle_alpha 90.00
_cell_angle_beta 90.00
_cell_angle_gamma 90.00
_space_group_name_H-M_alt 'F m -3 m'
_space_group_IT_number 225
_space_group_name_Hall '-F 4 2 3'
loop_
_atom_site_label
_atom_site_fract_x
_atom_site_fract_y
_atom_site_fract_z
_atom_site_occupancy
Ca1 0.000 0.000 0.000 1
Tc1 0.000 0.000 0.500 1
Ag1 0.250 0.250 0.250 1
```